Here is a relaxed LaTlAs2 crystal from the Alexandria database. Energies are from GGA-PBE.

Results
- Offset from the most stable computed form: 218 meV per atom
- Formation energy from the elements: -0.449 eV/atom
- Space group: I-42d

CIF file:
```
data_LaTlAs2
_space_group_name_H-M_alt 'P 1'
_space_group_IT_number 1
_cell_length_a 7.5130
_cell_length_b 7.5130
_cell_length_c 6.7643
_cell_angle_alpha 56.27
_cell_angle_beta 56.27
_cell_angle_gamma 90.00
loop_
_space_group_symop_operation_xyz
'x,y,z'
loop_
_atom_site_label
_atom_site_type_symbol
_atom_site_fract_x
_atom_site_fract_y
_atom_site_fract_z
La1 La 0.5000 0.5000 0.0000
As1 As 0.8750 0.9040 0.7500
Tl1 Tl 0.0000 0.0000 0.0000
As2 As 0.6540 0.1250 0.2500
As3 As 0.0960 0.6250 0.2500
La2 La 0.2500 0.7500 0.5000
As4 As 0.3750 0.3460 0.7500
Tl2 Tl 0.7500 0.2500 0.5000
```